No. 1
First-principles (GGA-PBE) data for an optimized crystal structure of NaTl2CdH, as listed in Alexandria via LeMat-Bulk.

## Properties
Relative energy among the computed polymorphs (meV/atom): 99
Space-group type: P4/mmm (123)

Cell: 4.8593 4.8593 5.1246 Å, 90.00 90.00 90.00°
Closest atoms and distances in Å follow each position.
Fractional positions:
Na (0.5000, 0.5000, 0.5000)  4 Cd 3.44, 8 Tl 3.53
H (0.0000, 0.0000, 0.0000)  4 Tl 2.43, 2 Cd 2.56
Cd (0.0000, 0.0000, 0.5000)  2 H 2.56
Tl (0.0000, 0.5000, 0.0000)  2 H 2.43
Tl (0.5000, 0.0000, 0.0000)  2 H 2.43

No. 2
First-principles (GGA-PBE) data for an optimized crystal structure of CsLiSeF6, as listed in Alexandria via LeMat-Bulk.

## Properties
Space-group type: P312 (149)
Uncorrected formation energy (eV per atom): -2.2853

Cell: 5.4500 5.4504 6.5560 Å, 90.02 90.00 59.98°
Closest atoms and distances in Å follow each position.
Fractional positions:
Se (0.3333, 0.3333, 0.5000)  6 F 1.97
F (0.0175, 0.3761, 0.3284)  1 Se 1.97, 1 Li 2.10
F (0.6065, 0.0172, 0.3284)  1 Se 1.97, 1 Li 2.10
F (0.0172, 0.6065, 0.6716)  1 Se 1.97, 1 Li 2.10
F (0.6062, 0.3764, 0.6717)  1 Se 1.97, 1 Li 2.10
F (0.3761, 0.0176, 0.6717)  1 Se 1.97, 1 Li 2.10
F (0.3763, 0.6063, 0.3282)  1 Se 1.97, 1 Li 2.10
Cs (0.0000, 0.0000, 0.0000)  6 F 3.01
Li (0.6666, 0.6666, 0.5000)  6 F 2.10

No. 3
First-principles (GGA-PBE) data for an optimized crystal structure of K2AcCrS4, as listed in Alexandria via LeMat-Bulk.

## Properties
Space-group type: I-4 (82)
Uncorrected formation energy (eV per atom): -1.1768

Cell: 6.7882 6.7882 6.7882 Å, 100.43 114.17 114.17°
Closest atoms and distances in Å follow each position.
Fractional positions:
K (0.0000, 0.0000, 0.0000)  4 S 3.14
K (0.5000, 0.7500, 0.2500)  4 S 3.11
S (0.9742, 0.6072, 0.1911)  1 Cr 2.31
S (0.5839, 0.3670, 0.3928)  1 Cr 2.31
S (0.4161, 0.8089, 0.7831)  1 Cr 2.31
S (0.0258, 0.2169, 0.6330)  1 Cr 2.31
Cr (0.0000, 0.5000, 0.5000)  4 S 2.31
Ac (0.5000, 0.2500, 0.7500)  4 S 2.88

Summary of Fermi-level density of states in states/eV/atom
0.310, 0.000, 0.613
(order as listed above)